[1]
Material: Pu4WN5
Method: DFT, PBE
State: relaxed

E_form (uncorrected) = -1043 meV/atom
Density of states at the Fermi level = 25.243 states/eV per cell
Space-group type = I4/m (87)
Size of the total moment = 17.3 μB/f.u.

Cell: 4.7975 5.8387 5.8387 Å, 80.28 65.74 65.74°
Each line ends with the local moment (μB).
Fractional positions:
Pu  0.4007  0.3962  0.8046  4.56
Pu  0.7968  0.8046  0.6038  4.56
Pu  0.2052  0.1954  0.3962  4.56
Pu  0.6014  0.6038  0.1954  4.56
W  0.0011  0.0000  0.0000  -0.52
N  0.9069  0.3795  0.8088  -0.18
N  0.2864  0.8088  0.6205  -0.18
N  0.7157  0.1912  0.3795  -0.18
N  0.0952  0.6205  0.1912  -0.18
N  0.5010  0.0000  0.0000  -0.16

---

[2]
Material: CePm2HoSb5
Method: DFT, PBE
State: relaxed

E_form (uncorrected) = -292 meV/atom
Density of states at the Fermi level = 10.434 states/eV per cell
Space-group type = P4/mmm (123)
Size of the total moment = 0.5 μB/f.u.

Cell: 5.2672 5.2672 11.7509 Å, 90.00 90.00 90.00°
Each line ends with the local moment (μB).
Fractional positions:
Ce  0.0000  0.0000  0.0000  0.59
Pm  0.5000  0.5000  0.2788  -0.01
Pm  0.5000  0.5000  0.7212  -0.01
Ho  0.0000  0.0000  0.5000  -0.01
Sb  0.0000  0.5000  0.5000  0.00
Sb  0.5000  0.0000  0.5000  0.00
Sb  0.0000  0.0000  0.7515  0.00
Sb  0.0000  0.0000  0.2485  0.00
Sb  0.5000  0.5000  0.0000  -0.02

---

[3]
Material: LiMgCu2Hg
Method: DFT, PBE
State: relaxed

Density of states at the Fermi level = 1.995 states/eV per cell
Space-group type = P4/mmm (123)
Size of the total moment = 0.0 μB/f.u.
Energy relative to the elements = 0.452 eV per atom

Cell: 4.9031 4.6810 4.9031 Å, 90.00 90.00 90.00°
Fractional positions:
Mg  0.5000  0.5000  0.5000
Hg  0.0000  0.0000  0.0000
Cu  0.0000  0.0000  0.5000
Cu  0.5000  0.0000  0.0000
Li  0.0000  0.5000  0.0000

---

[4]
Material: SrCa2HgRh
Method: DFT, PBE
State: relaxed

Distance to the lowest polymorph of the same formula = 44 meV/atom
Density of states at the Fermi level = 3.888 states/eV per cell
Space-group type = P4/mmm (123)
Size of the total moment = 0.0 μB/f.u.
Energy relative to the elements = -0.233 eV per atom

Cell: 5.3897 5.3897 5.5340 Å, 90.00 90.00 90.00°
Fractional positions:
Sr  0.5000  0.5000  0.5000
Ca  0.0000  0.5000  0.0000
Ca  0.5000  0.0000  0.0000
Rh  0.0000  0.0000  0.0000
Hg  0.0000  0.0000  0.5000

---

[5]
Material: ScCu2Tc
Method: DFT, PBE
State: relaxed

Distance to the lowest polymorph of the same formula = 0 meV/atom
Density of states at the Fermi level = 2.260 states/eV per cell
Space-group type = P4/mmm (123)
Size of the total moment = 0.0 μB/f.u.
Energy relative to the elements = -0.031 eV per atom

Cell: 3.9158 3.9158 3.8205 Å, 90.00 90.00 90.00°
Fractional positions:
Cu  0.0000  0.0000  0.0000
Cu  0.5000  0.5000  0.0000
Sc  0.5000  0.0000  0.5000
Tc  0.0000  0.5000  0.5000

---

[6]
Material: Y2MgB
Method: DFT, PBE
State: relaxed

Distance to the lowest polymorph of the same formula = 0 meV/atom
Density of states at the Fermi level = 7.113 states/eV per cell
Space-group type = I-42d (122)
Size of the total moment = 0.0 μB/f.u.
Energy relative to the elements = 0.258 eV per atom

Cell: 7.7192 7.7192 6.3794 Å, 52.77 52.77 90.00°
Fractional positions:
Y  0.5503  0.1250  0.2500
Y  0.1997  0.6250  0.2500
Y  0.3750  0.4497  0.7500
Y  0.8750  0.8003  0.7500
Mg  0.0000  0.0000  0.0000
Mg  0.7500  0.2500  0.5000
B  0.5000  0.5000  0.0000
B  0.2500  0.7500  0.5000